*w*
! AlCo2Pb2 GGA-PBE optimized geometry; values from VASP
! Symmetry ... No. 127
! Density of states at the Fermi level ... 0.806 states/eV per atom
&SYSTEM
  ibrav = 0, nat = 10, ntyp = 3
/
ATOMIC_SPECIES
Al 26.98 Al.upf
Co 58.93 Co.upf
Pb 207.20 Pb.upf
ATOMIC_POSITIONS crystal
Al 0.000 0.000 0.000
Al 0.500 0.500 0.000
Co 0.135 0.365 0.500
Co 0.365 0.865 0.500
Co 0.635 0.135 0.500
Co 0.865 0.635 0.500
Pb 0.159 0.659 0.000
Pb 0.341 0.159 0.000
Pb 0.659 0.841 0.000
Pb 0.841 0.341 0.000
CELL_PARAMETERS angstrom
7.834 0.000 0.000
0.000 7.834 0.000
0.000 0.000 3.060

*x*
! AlCo2Pb2 GGA-PBE optimized geometry; values from VASP
! Symmetry ... No. 127
! Density of states at the Fermi level ... 0.819 states/eV per atom
&SYSTEM
  ibrav = 0, nat = 10, ntyp = 3
/
ATOMIC_SPECIES
Al 26.98 Al.upf
Co 58.93 Co.upf
Pb 207.20 Pb.upf
ATOMIC_POSITIONS crystal
Al 0.000 0.000 0.000
Al 0.500 0.500 0.000
Co 0.140 0.360 0.000
Co 0.360 0.860 0.000
Co 0.640 0.140 0.000
Co 0.860 0.640 0.000
Pb 0.169 0.669 0.500
Pb 0.331 0.169 0.500
Pb 0.669 0.831 0.500
Pb 0.831 0.331 0.500
CELL_PARAMETERS angstrom
6.619 0.000 0.000
0.000 6.619 0.000
0.000 0.000 4.098

*x* has the most favorable energy; the next structure is 310 meV/atom above.

*w*
! Al2CoPd2 GGA-PBE optimized geometry; values from VASP
! Symmetry ... No. 65
! Density of states at the Fermi level ... 0.396 states/eV per atom
&SYSTEM
  ibrav = 0, nat = 10, ntyp = 3
/
ATOMIC_SPECIES
Al 26.98 Al.upf
Co 58.93 Co.upf
Pd 106.42 Pd.upf
ATOMIC_POSITIONS crystal
Al 0.000 0.086 0.000
Al 0.000 0.914 0.000
Al 0.500 0.414 0.000
Al 0.500 0.586 0.000
Co 0.000 0.500 0.500
Co 0.500 0.000 0.500
Pd 0.000 0.322 0.500
Pd 0.000 0.678 0.500
Pd 0.500 0.178 0.500
Pd 0.500 0.822 0.500
CELL_PARAMETERS angstrom
2.876 0.000 0.000
0.000 16.721 0.000
0.000 0.000 2.885

*x*
! Al2CoPd2 GGA-PBE optimized geometry; values from VASP
! Symmetry ... No. 127
! Density of states at the Fermi level ... 0.520 states/eV per atom
&SYSTEM
  ibrav = 0, nat = 10, ntyp = 3
/
ATOMIC_SPECIES
Al 26.98 Al.upf
Co 58.93 Co.upf
Pd 106.42 Pd.upf
ATOMIC_POSITIONS crystal
Al 0.162 0.338 0.000
Al 0.338 0.838 0.000
Al 0.662 0.162 0.000
Al 0.838 0.662 0.000
Co 0.000 0.000 0.500
Co 0.500 0.500 0.500
Pd 0.138 0.638 0.500
Pd 0.362 0.138 0.500
Pd 0.638 0.862 0.500
Pd 0.862 0.362 0.500
CELL_PARAMETERS angstrom
7.255 0.000 0.000
0.000 7.255 0.000
0.000 0.000 2.794

*w* has the most favorable energy; the next structure is 212 meV/atom above.

*w*
! Al2Co2Pd GGA-PBE optimized geometry; values from VASP
! Symmetry ... No. 127
! Density of states at the Fermi level ... 0.779 states/eV per atom
&SYSTEM
  ibrav = 0, nat = 10, ntyp = 3
/
ATOMIC_SPECIES
Al 26.98 Al.upf
Co 58.93 Co.upf
Pd 106.42 Pd.upf
ATOMIC_POSITIONS crystal
Al 0.178 0.322 0.000
Al 0.322 0.822 0.000
Al 0.678 0.178 0.000
Al 0.822 0.678 0.000
Co 0.118 0.618 0.500
Co 0.382 0.118 0.500
Co 0.618 0.882 0.500
Co 0.882 0.382 0.500
Pd 0.000 0.000 0.500
Pd 0.500 0.500 0.500
CELL_PARAMETERS angstrom
6.902 0.000 0.000
0.000 6.902 0.000
0.000 0.000 2.728

*x*
! Al2Co2Pd GGA-PBE optimized geometry; values from VASP
! Symmetry ... No. 127
! Density of states at the Fermi level ... 0.720 states/eV per atom
&SYSTEM
  ibrav = 0, nat = 10, ntyp = 3
/
ATOMIC_SPECIES
Al 26.98 Al.upf
Co 58.93 Co.upf
Pd 106.42 Pd.upf
ATOMIC_POSITIONS crystal
Al 0.144 0.356 0.000
Al 0.356 0.856 0.000
Al 0.644 0.144 0.000
Al 0.856 0.644 0.000
Co 0.151 0.651 0.500
Co 0.349 0.151 0.500
Co 0.651 0.849 0.500
Co 0.849 0.349 0.500
Pd 0.000 0.000 0.000
Pd 0.500 0.500 0.000
CELL_PARAMETERS angstrom
6.795 0.000 0.000
0.000 6.795 0.000
0.000 0.000 2.779

*w* has the most favorable energy; the next structure is 7 meV/atom above.

*w*
! AlCo3Pd GGA-PBE optimized geometry; values from VASP
! Symmetry ... No. 221
! Density of states at the Fermi level ... 1.046 states/eV per atom
&SYSTEM
  ibrav = 0, nat = 5, ntyp = 3
/
ATOMIC_SPECIES
Al 26.98 Al.upf
Co 58.93 Co.upf
Pd 106.42 Pd.upf
ATOMIC_POSITIONS crystal
Al 0.000 0.000 0.000
Co 0.000 0.000 0.500
Co 0.000 0.500 0.000
Co 0.500 0.000 0.000
Pd 0.500 0.500 0.500
CELL_PARAMETERS angstrom
4.227 0.000 0.000
0.000 4.227 0.000
0.000 0.000 4.227

*x*
! AlCo3Pd GGA-PBE optimized geometry; values from VASP
! Symmetry ... No. 221
! Density of states at the Fermi level ... 1.518 states/eV per atom
&SYSTEM
  ibrav = 0, nat = 5, ntyp = 3
/
ATOMIC_SPECIES
Al 26.98 Al.upf
Co 58.93 Co.upf
Pd 106.42 Pd.upf
ATOMIC_POSITIONS crystal
Al 0.000 0.000 0.000
Co 0.000 0.500 0.500
Co 0.500 0.000 0.500
Co 0.500 0.500 0.000
Pd 0.500 0.500 0.500
CELL_PARAMETERS angstrom
4.539 0.000 0.000
0.000 4.539 0.000
0.000 0.000 4.539

*w* has the most favorable energy; the next structure is 320 meV/atom above.

*w*
! Pm2AlCo2 GGA-PBE optimized geometry; values from VASP
! Symmetry ... No. 71
! Density of states at the Fermi level ... 0.822 states/eV per atom
&SYSTEM
  ibrav = 0, nat = 10, ntyp = 3
/
ATOMIC_SPECIES
Pm 145.00 Pm.upf
Al 26.98 Al.upf
Co 58.93 Co.upf
ATOMIC_POSITIONS crystal
Pm 0.000 0.000 0.201
Pm 0.000 0.000 0.799
Pm 0.500 0.500 0.299
Pm 0.500 0.500 0.701
Al 0.000 0.500 0.000
Al 0.500 0.000 0.500
Co 0.000 0.275 0.500
Co 0.000 0.725 0.500
Co 0.500 0.225 0.000
Co 0.500 0.775 0.000
CELL_PARAMETERS angstrom
4.037 0.000 0.000
0.000 5.555 0.000
0.000 0.000 8.732

*x*
! Pm2AlCo2 GGA-PBE optimized geometry; values from VASP
! Symmetry ... No. 15
! Density of states at the Fermi level ... 0.860 states/eV per atom
&SYSTEM
  ibrav = 0, nat = 10, ntyp = 3
/
ATOMIC_SPECIES
Pm 145.00 Pm.upf
Al 26.98 Al.upf
Co 58.93 Co.upf
ATOMIC_POSITIONS crystal
Pm 0.001 0.291 0.146
Pm 0.291 0.001 0.646
Pm 0.709 0.999 0.354
Pm 0.999 0.709 0.854
Al 0.381 0.619 0.250
Al 0.619 0.381 0.750
Co 0.213 0.500 0.495
Co 0.500 0.213 0.995
Co 0.500 0.787 0.005
Co 0.787 0.500 0.505
CELL_PARAMETERS angstrom
4.765 -2.780 0.000
4.765 2.780 0.000
-1.805 0.000 7.414

*x* has the most favorable energy; the next structure is 6 meV/atom above.

*w*
! PmAl2Co GGA-PBE optimized geometry; values from VASP
! Symmetry ... No. 63
! Density of states at the Fermi level ... 0.884 states/eV per atom
&SYSTEM
  ibrav = 0, nat = 16, ntyp = 3
/
ATOMIC_SPECIES
Pm 145.00 Pm.upf
Al 26.98 Al.upf
Co 58.93 Co.upf
ATOMIC_POSITIONS crystal
Pm 0.000 0.056 0.250
Pm 0.000 0.944 0.750
Pm 0.500 0.444 0.750
Pm 0.500 0.556 0.250
Al 0.000 0.333 0.057
Al 0.000 0.333 0.443
Al 0.000 0.667 0.557
Al 0.000 0.667 0.943
Al 0.500 0.167 0.557
Al 0.500 0.167 0.943
Al 0.500 0.833 0.057
Al 0.500 0.833 0.443
Co 0.000 0.215 0.750
Co 0.000 0.785 0.250
Co 0.500 0.285 0.250
Co 0.500 0.715 0.750
CELL_PARAMETERS angstrom
4.084 0.000 0.000
0.000 10.314 0.000
0.000 0.000 7.069

*x*
! PmAl2Co GGA-PBE optimized geometry; values from VASP
! Symmetry ... No. 123
! Density of states at the Fermi level ... 0.850 states/eV per atom
&SYSTEM
  ibrav = 0, nat = 4, ntyp = 3
/
ATOMIC_SPECIES
Pm 145.00 Pm.upf
Al 26.98 Al.upf
Co 58.93 Co.upf
ATOMIC_POSITIONS crystal
Pm 0.000 0.000 0.000
Al 0.500 0.500 0.321
Al 0.500 0.500 0.679
Co 0.000 0.000 0.500
CELL_PARAMETERS angstrom
3.080 0.000 0.000
0.000 3.080 0.000
0.000 0.000 7.439

*y*
! PmAl2Co GGA-PBE optimized geometry; values from VASP
! Symmetry ... No. 166
! Density of states at the Fermi level ... 0.820 states/eV per atom
&SYSTEM
  ibrav = 0, nat = 12, ntyp = 3
/
ATOMIC_SPECIES
Pm 145.00 Pm.upf
Al 26.98 Al.upf
Co 58.93 Co.upf
ATOMIC_POSITIONS crystal
Pm 0.000 0.000 0.000
Pm 0.333 0.667 0.667
Pm 0.667 0.333 0.333
Al 0.000 0.000 0.205
Al 0.000 0.000 0.795
Al 0.333 0.667 0.462
Al 0.333 0.667 0.871
Al 0.667 0.333 0.129
Al 0.667 0.333 0.538
Co 0.000 0.000 0.500
Co 0.333 0.667 0.167
Co 0.667 0.333 0.833
CELL_PARAMETERS angstrom
4.108 0.000 0.000
-2.054 3.558 0.000
0.000 0.000 16.023

*w* has the most favorable energy; the next structure is 84 meV/atom above.

*w*
! Pr2AlCo GGA-PBE optimized geometry; values from VASP
! Symmetry ... No. 123
! Density of states at the Fermi level ... 0.623 states/eV per atom
&SYSTEM
  ibrav = 0, nat = 4, ntyp = 3
/
ATOMIC_SPECIES
Pr 140.91 Pr.upf
Al 26.98 Al.upf
Co 58.93 Co.upf
ATOMIC_POSITIONS crystal
Pr 0.000 0.000 0.229
Pr 0.000 0.000 0.771
Al 0.500 0.500 0.500
Co 0.500 0.500 0.000
CELL_PARAMETERS angstrom
3.604 0.000 0.000
0.000 3.604 0.000
0.000 0.000 7.441

*x*
! Pr2AlCo GGA-PBE optimized geometry; values from VASP
! Symmetry ... No. 166
! Density of states at the Fermi level ... 1.067 states/eV per atom
&SYSTEM
  ibrav = 0, nat = 12, ntyp = 3
/
ATOMIC_SPECIES
Pr 140.91 Pr.upf
Al 26.98 Al.upf
Co 58.93 Co.upf
ATOMIC_POSITIONS crystal
Pr 0.000 0.000 0.084
Pr 0.000 0.000 0.916
Pr 0.333 0.667 0.583
Pr 0.333 0.667 0.751
Pr 0.667 0.333 0.249
Pr 0.667 0.333 0.417
Al 0.000 0.000 0.500
Al 0.333 0.667 0.167
Al 0.667 0.333 0.833
Co 0.000 0.000 0.000
Co 0.333 0.667 0.667
Co 0.667 0.333 0.333
CELL_PARAMETERS angstrom
3.409 0.000 0.000
-1.704 2.952 0.000
0.000 0.000 30.487

*w* has the most favorable energy; the next structure is 602 meV/atom above.